(1)
First-principles (GGA-PBEsol) data for TeRu2 after structural relaxation, as listed in Alexandria via LeMat-Bulk.

Geometry as extended XYZ:
```
6
Lattice="-2.318 1.769 3.300 -1.884 -2.934 -2.689 1.636 -4.136 3.366" Properties=species:S:1:pos:R:3 pbc="T T T"
Ru -1.620 -2.400 0.149
Ru -0.946 -2.901 3.828
Ru 0.818 -2.068 1.683
Ru 0.000 0.000 0.000
Te -0.802 -4.468 1.832
Te -1.764 -0.833 2.145
```

## Properties
- distance to the lowest polymorph of the same formula (meV/atom) = 0
- space-group type = No. 194
- formation energy from raw total energies (eV/atom) = 0.342
- total magnetic moment (μB/cell) = 0.00
- DOS at the Fermi energy (states/eV/f.u.) = 1.95
- VASP energy (eV per atom) = -7.615

=====

(2)
First-principles (GGA-PBEsol) data for HgMo6S8 after structural relaxation, as listed in Alexandria via LeMat-Bulk.

Geometry as extended XYZ:
```
15
Lattice="6.460 0.017 0.018 -0.313 6.452 0.018 -0.313 -0.329 6.444" Properties=species:S:1:pos:R:3 pbc="T T T"
S 5.329 3.937 1.786
S 4.537 0.738 2.453
S 0.505 2.203 4.694
S 1.320 1.389 1.466
S 4.514 4.751 5.015
S 2.174 4.654 0.869
S 3.660 1.486 5.611
S 1.297 5.402 4.028
Mo 2.405 1.227 3.579
Mo 3.380 2.581 1.418
Mo 1.103 3.441 2.654
Mo 3.429 4.913 2.901
Mo 4.731 2.699 3.827
Mo 2.453 3.559 5.062
Hg 0.000 0.000 0.000
```

## Properties
- space-group type = No. 148
- formation energy from raw total energies (eV/atom) = -0.712
- total magnetic moment (μB/cell) = 0.00
- DOS at the Fermi energy (states/eV/f.u.) = 6.82
- VASP energy (eV per atom) = -7.796

=====

(3)
First-principles (GGA-PBEsol) data for SrInAu5 after structural relaxation, as listed in Alexandria via LeMat-Bulk.

Geometry as extended XYZ:
```
7
Lattice="5.440 0.000 0.000 2.720 5.079 0.000 2.720 0.000 5.079" Properties=species:S:1:pos:R:3 pbc="T T T"
Au 6.800 2.539 2.539
Au 2.720 0.000 1.969
Au 5.440 0.000 3.109
Au 2.720 1.969 0.000
Au 5.440 3.109 0.000
In 4.080 2.539 2.539
Sr 0.000 0.000 0.000
```

## Properties
- space-group type = No. 119
- ΔE_f (eV per formula unit) = -3.041
- total magnetic moment (μB/cell) = 0.00
- DOS at the Fermi energy (states/eV/f.u.) = 2.25
- VASP energy (eV per atom) = -3.926

=====

(4)
First-principles (GGA-PBEsol) data for TaBiSeN2 after structural relaxation, as listed in Alexandria via LeMat-Bulk.

Geometry as extended XYZ:
```
5
Lattice="-2.116 -3.097 -1.627 3.059 -0.715 -2.617 2.143 -3.245 3.390" Properties=species:S:1:pos:R:3 pbc="T T T"
Ta 0.000 0.000 0.000
N -1.058 -1.548 -0.814
N 1.529 -0.357 -1.309
Se 1.071 -1.623 1.695
Bi 1.543 -3.529 -0.427
```

## Properties
- space-group type = No. 123
- formation energy from raw total energies (eV/atom) = 0.068
- total magnetic moment (μB/cell) = 0.00
- DOS at the Fermi energy (states/eV/f.u.) = 2.40
- VASP energy (eV per atom) = -7.480

=====

(5)
First-principles (GGA-PBEsol) data for BaNaEuSi3O9 after structural relaxation, as listed in Alexandria via LeMat-Bulk.

Geometry as extended XYZ:
```
60
Lattice="5.665 0.000 0.000 0.000 11.472 0.000 0.000 0.000 12.512" Properties=species:S:1:pos:R:3 pbc="T T T"
O 0.777 7.139 2.291
O 4.888 1.403 3.965
O 4.864 5.037 4.036
O 3.574 3.575 1.391
O 2.204 8.904 0.903
O 0.076 11.417 6.705
O 2.338 2.045 3.210
O 5.170 3.691 9.302
O 0.741 2.161 11.121
O 3.609 10.069 10.221
O 3.461 3.168 5.353
O 2.091 9.311 4.865
O 5.467 5.098 7.107
O 1.949 7.868 7.782
O 0.566 6.840 9.792
O 2.757 0.055 0.449
O 0.629 2.568 7.159
O 0.495 9.427 9.465
O 2.056 4.333 8.547
O 3.715 2.132 10.986
O 0.198 10.834 11.661
O 3.399 10.368 2.719
O 2.031 0.699 8.476
O 2.634 0.638 5.405
O 5.589 5.681 12.063
O 2.266 4.632 3.537
O 2.908 5.791 5.807
O 3.031 6.374 0.851
O 5.036 8.304 11.609
O 3.633 6.435 10.292
O 0.883 3.604 1.526
O 4.923 7.897 7.647
O 3.327 7.781 3.046
O 5.099 1.104 8.975
O 4.782 9.340 4.730
O 0.801 10.773 2.220
Si 3.385 1.717 4.481
Si 0.601 1.008 7.786
Si 0.567 8.003 8.592
Si 0.552 4.019 8.031
Si 5.112 9.755 10.737
Si 2.280 7.453 1.775
Si 5.064 6.744 10.982
Si 3.400 9.205 3.920
Si 5.097 2.267 10.176
Si 2.265 3.469 2.336
Si 3.433 4.728 4.726
Si 2.232 10.464 1.530
Na 2.412 8.222 11.156
Na 5.245 8.986 1.356
Na 3.252 2.486 7.612
Na 0.420 3.250 4.900
Eu 0.646 11.112 4.519
Eu 3.478 6.096 7.992
Eu 2.186 0.360 10.775
Eu 5.019 5.376 1.737
Ba 2.252 4.399 11.505
Ba 5.084 1.337 1.007
Ba 0.581 7.073 5.249
Ba 3.413 10.135 7.263
```

## Properties
- space-group type = No. 19
- formation energy from raw total energies (eV/atom) = -2.835
- total magnetic moment (μB/cell) = 24.00
- DOS at the Fermi energy (states/eV/f.u.) = 10.19
- VASP energy (eV per atom) = -8.075

=====

(6)
First-principles (GGA-PBEsol) data for GaGePb2S after structural relaxation, as listed in Alexandria via LeMat-Bulk.

Geometry as extended XYZ:
```
5
Lattice="-3.268 -0.288 2.938 2.383 -4.479 2.210 2.844 3.230 3.479" Properties=species:S:1:pos:R:3 pbc="T T T"
Ge 0.979 -0.769 4.314
Pb 1.422 1.615 1.740
Pb 1.191 -2.239 1.105
S -1.634 -0.144 1.469
Ga 0.000 0.000 0.000
```

## Properties
- space-group type = No. 123
- formation energy from raw total energies (eV/atom) = 0.475
- total magnetic moment (μB/cell) = 0.00
- DOS at the Fermi energy (states/eV/f.u.) = 5.10
- VASP energy (eV per atom) = -3.657